Record 1
Sr3ZnRhO6 PBE optimized geometry; density of states at the Fermi level = 11.32 states/eV per cell; energy relative to the elements, uncorrected = -2027 meV/atom; M_tot = 2.101 Bohr magnetons per cell; energy = -5.974 eV per atom; crystal system = trigonal
1.0
4.8496 2.7999 3.7609
-4.8496 2.7999 3.7609
0.0000 -5.5998 3.7609
Sr Zn Rh O
6 2 2 12
Direct
0.1143 0.7500 0.3857
0.2500 0.6143 0.8857
0.3857 0.1143 0.7500
0.6143 0.8857 0.2500
0.7500 0.3857 0.1143
0.8857 0.2500 0.6143
0.2500 0.2500 0.2500
0.7500 0.7500 0.7500
0.0000 0.0000 0.0000
0.5000 0.5000 0.5000
0.0408 0.9077 0.7143
0.0923 0.2857 0.9592
0.2143 0.4077 0.5408
0.2857 0.9592 0.0923
0.4077 0.5408 0.2143
0.4592 0.7857 0.5923
0.5408 0.2143 0.4077
0.5923 0.4592 0.7857
0.7143 0.0408 0.9077
0.7857 0.5923 0.4592
0.9077 0.7143 0.0408
0.9592 0.0923 0.2857

Record 2
Sr2ZnRhO4 PBE optimized geometry; density of states at the Fermi level = 7.00 states/eV per cell; energy relative to the elements, uncorrected = -1694 meV/atom; M_tot = 1.021 Bohr magnetons per cell; energy = -5.672 eV per atom; crystal system = tetragonal
1.0
-3.0369 3.0369 3.2295
3.0369 -3.0369 3.2295
3.0369 3.0369 -3.2295
Sr Zn Rh O
2 1 1 4
Direct
0.0000 0.0000 0.0000
0.7500 0.2500 0.5000
0.2500 0.7500 0.5000
0.5000 0.5000 0.0000
0.2580 0.3911 0.5469
0.2889 0.7420 0.1332
0.6089 0.1557 0.8668
0.8443 0.7111 0.4531

Record 3
Sr2ZnRhO5 PBE optimized geometry; density of states at the Fermi level = 7.50 states/eV per cell; energy relative to the elements, uncorrected = -1802 meV/atom; M_tot = 2.057 Bohr magnetons per cell; energy = -5.888 eV per atom; crystal system = orthorhombic
1.0
1.6658 -7.1293 0.0000
1.6658 7.1293 0.0000
0.0000 0.0000 10.3624
Sr Zn Rh O
4 2 2 10
Direct
0.1026 0.8974 0.5000
0.1305 0.8695 0.1253
0.8695 0.1305 0.6253
0.8974 0.1026 0.0000
0.4501 0.5499 0.2783
0.5499 0.4501 0.7783
0.2176 0.7824 0.8449
0.7824 0.2176 0.3449
0.0710 0.9290 0.8734
0.2767 0.7233 0.4665
0.2982 0.7018 0.2233
0.3574 0.6426 0.8216
0.4990 0.5010 0.1074
0.5010 0.4990 0.6074
0.6426 0.3574 0.3216
0.7018 0.2982 0.7233
0.7233 0.2767 0.9665
0.9290 0.0710 0.3734

- The lowest M_tot belongs to which entry?
  Sr2ZnRhO4

- Which value of M_tot does entry 2 give?
  1.021 Bohr magnetons per cell

- What is the formula in the second record?
  Sr2ZnRhO4

- Among the records above, which one has the lowest density of states at the Fermi level?
  Sr2ZnRhO4